(1)
# BaTeSe2, PBEsol geometry, DFT meta-GGA SCAN
data_BaTeSe2
_space_group_name_H-M_alt 'R -3 m'
_space_group_IT_number 166
_space_group_name_Hall '-R 3 2"'
_cell_length_a 4.4250
_cell_length_b 4.4250
_cell_length_c 26.8699
_cell_angle_alpha 90.00
_cell_angle_beta 90.00
_cell_angle_gamma 120.00
loop_
_atom_site_label
_atom_site_fract_x
_atom_site_fract_y
_atom_site_fract_z
_atom_site_occupancy
Ba1 0.0000 0.0000 0.0000 1
Te1 0.0000 0.0000 0.5000 1
Se1 0.0000 0.0000 0.1175 1
# formation energy (no corrections)	-0.2544	eV per atom
# DOS at the Fermi energy	0.553	states/eV per atom
# uncorrected energy	-353.93	eV for the cell shown

(2)
# BaTeSe2, PBEsol geometry, DFT meta-GGA SCAN
data_BaTeSe2
_space_group_name_H-M_alt 'P 1 2/m 1'
_space_group_IT_number 10
_cell_length_a 4.402
_cell_length_b 3.971
_cell_length_c 7.098
_cell_angle_alpha 90.00
_cell_angle_beta 105.75
_cell_angle_gamma 90.00
loop_
_space_group_symop_operation_xyz
'x,y,z'
'-x,-y,-z'
'-x,y,-z'
'x,-y,z'
loop_
_atom_site_label
_atom_site_fract_x
_atom_site_fract_y
_atom_site_fract_z
_atom_site_occupancy
Ba1 0.000 0.000 0.000 1
Te1 0.500 0.000 0.500 1
Se1 0.401 0.500 0.758 1
# formation energy (no corrections)	-1.1030	eV per atom
# uncorrected energy	-121.37	eV for the cell shown

(3)
# BaTeSe2, PBEsol geometry, DFT meta-GGA SCAN
data_BaTeSe2
_space_group_name_H-M_alt 'C m m m'
_space_group_IT_number 65
_space_group_name_Hall '-C 2 2'
_cell_length_a 4.508
_cell_length_b 6.835
_cell_length_c 7.820
_cell_angle_alpha 90.00
_cell_angle_beta 90.00
_cell_angle_gamma 90.00
loop_
_atom_site_label
_atom_site_fract_x
_atom_site_fract_y
_atom_site_fract_z
_atom_site_occupancy
Ba1 0.000 0.000 0.000 1
Te1 0.000 0.000 0.500 1
Se1 0.000 0.500 0.269 1
# formation energy (no corrections)	-0.7403	eV per atom
# DOS at the Fermi energy	0.320	states/eV per atom
# uncorrected energy	-239.84	eV for the cell shown

(4)
# Ba2TeSe, PBEsol geometry, DFT meta-GGA SCAN
data_Ba2TeSe
_space_group_name_H-M_alt 'R -3 m'
_space_group_IT_number 166
_space_group_name_Hall '-R 3 2"'
_cell_length_a 4.7787
_cell_length_b 4.7787
_cell_length_c 23.5218
_cell_angle_alpha 90.00
_cell_angle_beta 90.00
_cell_angle_gamma 120.00
loop_
_atom_site_label
_atom_site_fract_x
_atom_site_fract_y
_atom_site_fract_z
_atom_site_occupancy
Ba1 0.0000 0.0000 0.2451 1
Te1 0.0000 0.0000 0.0000 1
Se1 0.0000 0.0000 0.5000 1
# formation energy (no corrections)	-2.1486	eV per atom
# energy above the lowest structure with this stoichiometry	0	meV/atom
# DOS at the Fermi energy	0.000	states/eV per atom
# uncorrected energy	-435.07	eV for the cell shown

(5)
# Ba2YTeSe, PBEsol geometry, DFT meta-GGA SCAN
data_Ba2YTeSe
_space_group_name_H-M_alt 'P 4/m m m'
_space_group_IT_number 123
_space_group_name_Hall '-P 4 2'
_cell_length_a 6.161
_cell_length_b 6.161
_cell_length_c 5.238
_cell_angle_alpha 90.00
_cell_angle_beta 90.00
_cell_angle_gamma 90.00
loop_
_atom_site_label
_atom_site_fract_x
_atom_site_fract_y
_atom_site_fract_z
_atom_site_occupancy
Ba1 0.000 0.500 0.000 1
Y1 0.000 0.000 0.500 1
Te1 0.500 0.500 0.500 1
Se1 0.000 0.000 0.000 1
# formation energy (no corrections)	-1.0309	eV per atom
# DOS at the Fermi energy	0.837	states/eV per atom
# uncorrected energy	-169.43	eV for the cell shown

(6)
# BaTlSe2, PBEsol geometry, DFT meta-GGA SCAN
data_BaTlSe2
_space_group_name_H-M_alt 'P 1 m 1'
_space_group_IT_number 6
_cell_length_a 4.474
_cell_length_b 6.337
_cell_length_c 4.476
_cell_angle_alpha 90.00
_cell_angle_beta 90.02
_cell_angle_gamma 90.00
loop_
_space_group_symop_operation_xyz
'x,y,z'
'x,-y,z'
loop_
_atom_site_label
_atom_site_fract_x
_atom_site_fract_y
_atom_site_fract_z
_atom_site_occupancy
Ba1 0.000 0.000 0.000 1
Tl1 0.501 0.500 0.500 1
Se1 0.001 0.500 0.979 1
Se2 0.500 0.000 0.498 1
# formation energy (no corrections)	-1.2032	eV per atom
# DOS at the Fermi energy	0.418	states/eV per atom
# uncorrected energy	-156.88	eV for the cell shown

(7)
# BaTlSe2, PBEsol geometry, DFT meta-GGA SCAN
data_BaTlSe2
_space_group_name_H-M_alt 'A m m 2'
_space_group_IT_number 38
_cell_length_a 4.510
_cell_length_b 4.229
_cell_length_c 12.744
_cell_angle_alpha 90.00
_cell_angle_beta 90.00
_cell_angle_gamma 90.00
loop_
_space_group_symop_operation_xyz
'x,y,z'
'-x,-y,z'
'-x,y,z'
'x,-y,z'
'x,y+1/2,z+1/2'
'-x,-y+1/2,z+1/2'
'-x,y+1/2,z+1/2'
'x,-y+1/2,z+1/2'
loop_
_atom_site_label
_atom_site_fract_x
_atom_site_fract_y
_atom_site_fract_z
_atom_site_occupancy
Ba1 0.000 0.000 0.000 1
Tl1 0.500 0.000 0.761 1
Se1 0.000 0.000 0.290 1
Se2 0.500 0.000 0.551 1
# formation energy (no corrections)	-1.2256	eV per atom
# DOS at the Fermi energy	0.258	states/eV per atom
# uncorrected energy	-313.94	eV for the cell shown

(8)
# BaW2Se, PBEsol geometry, DFT meta-GGA SCAN
data_BaW2Se
_space_group_name_H-M_alt 'I m m m'
_space_group_IT_number 71
_space_group_name_Hall '-I 2 2'
_cell_length_a 2.936
_cell_length_b 5.188
_cell_length_c 10.776
_cell_angle_alpha 90.00
_cell_angle_beta 90.00
_cell_angle_gamma 90.00
loop_
_atom_site_label
_atom_site_fract_x
_atom_site_fract_y
_atom_site_fract_z
_atom_site_occupancy
Ba1 0.000 0.000 0.000 1
W1 0.000 0.500 0.207 1
Se1 0.000 0.000 0.500 1
# formation energy (no corrections)	1.0275	eV per atom
# DOS at the Fermi energy	0.617	states/eV per atom
# uncorrected energy	-389.79	eV for the cell shown

(9)
# Ba2WSe, PBEsol geometry, DFT meta-GGA SCAN
data_Ba2WSe
_space_group_name_H-M_alt 'R -3 m'
_space_group_IT_number 166
_space_group_name_Hall '-R 3 2"'
_cell_length_a 4.1930
_cell_length_b 4.1930
_cell_length_c 26.4487
_cell_angle_alpha 90.00
_cell_angle_beta 90.00
_cell_angle_gamma 120.00
loop_
_atom_site_label
_atom_site_fract_x
_atom_site_fract_y
_atom_site_fract_z
_atom_site_occupancy
Ba1 0.0000 0.0000 0.2441 1
W1 0.0000 0.0000 0.0000 1
Se1 0.0000 0.0000 0.5000 1
# formation energy (no corrections)	0.3065	eV per atom
# DOS at the Fermi energy	0.625	states/eV per atom
# uncorrected energy	-502.92	eV for the cell shown

(10)
# Ba2WSe, PBEsol geometry, DFT meta-GGA SCAN
data_Ba2WSe
_space_group_name_H-M_alt 'P 4/m m m'
_space_group_IT_number 123
_space_group_name_Hall '-P 4 2'
_cell_length_a 3.919
_cell_length_b 3.919
_cell_length_c 8.029
_cell_angle_alpha 90.00
_cell_angle_beta 90.00
_cell_angle_gamma 90.00
loop_
_atom_site_label
_atom_site_fract_x
_atom_site_fract_y
_atom_site_fract_z
_atom_site_occupancy
Ba1 0.000 0.000 0.234 1
W1 0.500 0.500 0.500 1
Se1 0.500 0.500 0.000 1
# formation energy (no corrections)	0.1860	eV per atom
# DOS at the Fermi energy	0.501	states/eV per atom
# uncorrected energy	-168.12	eV for the cell shown

(11)
# BaWSe, PBEsol geometry, DFT meta-GGA SCAN
data_BaWSe
_space_group_name_H-M_alt 'F -4 3 m'
_space_group_IT_number 216
_space_group_name_Hall 'F -4 2 3'
_cell_length_a 7.521
_cell_length_b 7.521
_cell_length_c 7.521
_cell_angle_alpha 90.00
_cell_angle_beta 90.00
_cell_angle_gamma 90.00
loop_
_atom_site_label
_atom_site_fract_x
_atom_site_fract_y
_atom_site_fract_z
_atom_site_occupancy
Ba1 0.000 0.000 0.000 1
W1 0.250 0.250 0.250 1
Se1 0.250 0.250 0.750 1
# formation energy (no corrections)	1.3686	eV per atom
# DOS at the Fermi energy	0.435	states/eV per atom
# uncorrected energy	-500.84	eV for the cell shown

(12)
# BaY2Se, PBEsol geometry, DFT meta-GGA SCAN
data_BaY2Se
_space_group_name_H-M_alt 'I 4/m m m'
_space_group_IT_number 139
_space_group_name_Hall '-I 4 2'
_cell_length_a 4.650
_cell_length_b 4.650
_cell_length_c 10.945
_cell_angle_alpha 90.00
_cell_angle_beta 90.00
_cell_angle_gamma 90.00
loop_
_atom_site_label
_atom_site_fract_x
_atom_site_fract_y
_atom_site_fract_z
_atom_site_occupancy
Ba1 0.000 0.000 0.000 1
Y1 0.000 0.500 0.250 1
Se1 0.000 0.000 0.500 1
# formation energy (no corrections)	-0.3090	eV per atom
# DOS at the Fermi energy	0.929	states/eV per atom
# uncorrected energy	-233.10	eV for the cell shown